ReS3I | Alexandria | meta-GGA SCAN | PBEsol geometry; calculated total energy = -1.86893 Ry/atom; density = 5.47 g/cm3; space-group type = No. 221; total magnetization = 5.19 Bohr magnetons per cell; E_form (uncorrected) = 1.9165 eV per atom
1.0
4.9904 0.0000 0.0000
0.0000 4.9904 0.0000
0.0000 0.0000 4.9904
I Re S
1 1 3
Direct
0.0000 0.0000 0.0000
0.5000 0.5000 0.5000
0.0000 0.5000 0.0000
0.0000 0.0000 0.5000
0.5000 0.0000 0.0000

***

ReSb2SI | Alexandria | meta-GGA SCAN | PBEsol geometry; calculated total energy = -2.75870 Ry/atom; density = 7.21 g/cm3; space-group type = No. 123; total magnetization = 0.00 Bohr magnetons per cell; E_form (uncorrected) = 0.8637 eV per atom
1.0
5.1053 0.0000 0.0000
0.0000 5.1053 0.0000
0.0000 0.0000 5.1985
I Re S Sb
1 1 1 2
Direct
0.0000 0.0000 0.5000
0.0000 0.0000 0.0000
0.5000 0.5000 0.5000
0.0000 0.5000 0.0000
0.5000 0.0000 0.0000

***

ReTe2SI | Alexandria | meta-GGA SCAN | PBEsol geometry; calculated total energy = -2.75237 Ry/atom; density = 7.19 g/cm3; space-group type = No. 123; total magnetization = 0.00 Bohr magnetons per cell; E_form (uncorrected) = 0.9459 eV per atom
1.0
-2.8971 -2.9973 2.9069
3.1054 -3.9118 -0.9385
2.9496 1.3118 4.2922
I Re S Te
1 1 1 2
Direct
0.0000 0.0000 0.5000
0.0000 0.0000 0.0000
0.5000 0.5000 0.5000
0.0000 0.5000 0.0000
0.5000 0.0000 0.0000

***

ReTcSbI2 | Alexandria | meta-GGA SCAN | PBEsol geometry; calculated total energy = -3.06224 Ry/atom; density = 7.68 g/cm3; space-group type = No. 123; total magnetization = 2.85 Bohr magnetons per cell; E_form (uncorrected) = 1.7164 eV per atom
1.0
5.1498 0.0000 0.0000
0.0000 5.2648 0.0000
0.0000 0.0000 5.2648
I Re Tc Sb
2 1 1 1
Direct
0.0000 0.0000 0.5000
0.0000 0.5000 0.0000
0.5000 0.5000 0.5000
0.0000 0.0000 0.0000
0.5000 0.0000 0.0000

***

ReSbTeI2 | Alexandria | meta-GGA SCAN | PBEsol geometry; calculated total energy = -3.15575 Ry/atom; density = 7.92 g/cm3; space-group type = No. 123; total magnetization = 0.66 Bohr magnetons per cell; E_form (uncorrected) = 0.8823 eV per atom
1.0
-2.1141 1.2071 4.5232
4.0433 -2.3362 2.5133
2.6478 4.5948 0.0114
I Re Te Sb
2 1 1 1
Direct
0.0000 0.0000 0.5000
0.0000 0.5000 0.0000
0.0000 0.0000 0.0000
0.5000 0.0000 0.0000
0.5000 0.5000 0.5000

***

ReSe3I | Alexandria | meta-GGA SCAN | PBEsol geometry; calculated total energy = -2.33293 Ry/atom; density = 6.21 g/cm3; space-group type = No. 221; total magnetization = 4.98 Bohr magnetons per cell; E_form (uncorrected) = 1.8737 eV per atom
1.0
-2.1184 0.2085 -4.8307
4.6551 -1.3379 -2.0992
-1.3072 -5.1023 0.3530
I Re Se
1 1 3
Direct
0.0000 0.0000 0.0000
0.5000 0.5000 0.5000
0.0000 0.5000 0.0000
0.0000 0.0000 0.5000
0.5000 0.0000 0.0000

***

ReSe2I | Alexandria | meta-GGA SCAN | PBEsol geometry; calculated total energy = -2.70891 Ry/atom; density = 7.76 g/cm3; space-group type = No. 166; total magnetization = 0.00 Bohr magnetons per cell; E_form (uncorrected) = 0.1424 eV per atom
1.0
3.1908 0.0000 0.0000
1.5954 2.7633 0.0000
1.5954 0.9211 11.4333
I Re Se
1 1 2
Direct
0.0000 0.0000 0.0000
0.5000 0.5000 0.5000
0.8843 0.8843 0.3471
0.1157 0.1157 0.6529

***

ReSi2I | Alexandria | meta-GGA SCAN | PBEsol geometry; calculated total energy = -2.24498 Ry/atom; density = 9.27 g/cm3; space-group type = No. 225; total magnetization = 0.00 Bohr magnetons per cell; E_form (uncorrected) = 1.4231 eV per atom
1.0
-1.5523 2.8889 3.1393
-0.7286 -1.4367 4.2445
2.7228 1.3774 3.3615
I Re Si
1 1 2
Direct
0.0000 0.0000 0.0000
0.5000 0.5000 0.5000
0.2500 0.2500 0.2500
0.7500 0.7500 0.7500

***

SrReI3 | Alexandria | meta-GGA SCAN | PBEsol geometry; calculated total energy = -2.98705 Ry/atom; density = 6.87 g/cm3; space-group type = No. 221; total magnetization = 1.55 Bohr magnetons per cell; E_form (uncorrected) = 0.0786 eV per atom
1.0
-5.0448 -1.2614 1.4878
1.3686 -5.2286 0.2073
1.3899 0.5698 5.1959
I Re Sr
3 1 1
Direct
0.0000 0.5000 0.0000
0.0000 0.0000 0.5000
0.5000 0.0000 0.0000
0.0000 0.0000 0.0000
0.5000 0.5000 0.5000

***

Sr2Re2I | Alexandria | meta-GGA SCAN | PBEsol geometry; calculated total energy = -3.28882 Ry/atom; density = 8.48 g/cm3; space-group type = No. 139; total magnetization = 0.00 Bohr magnetons per cell; E_form (uncorrected) = -0.0493 eV per atom
1.0
-0.6188 3.0875 -1.8867
-1.8668 -1.9121 -2.5167
-7.0304 0.8409 7.2532
I Re Sr
1 2 2
Direct
0.0000 0.0000 0.0000
0.2500 0.7500 0.5000
0.7500 0.2500 0.5000
0.3796 0.3796 0.7591
0.6204 0.6204 0.2409

***

Sr2ZnReI | Alexandria | meta-GGA SCAN | PBEsol geometry; calculated total energy = -2.42262 Ry/atom; density = 5.92 g/cm3; space-group type = No. 123; total magnetization = 0.34 Bohr magnetons per cell; E_form (uncorrected) = 0.2196 eV per atom
1.0
4.8048 0.0000 0.0000
0.0000 5.6869 0.0000
0.0000 0.0000 5.6869
I Re Zn Sr
1 1 1 2
Direct
0.5000 0.5000 0.5000
0.0000 0.0000 0.0000
0.5000 0.0000 0.0000
0.0000 0.0000 0.5000
0.0000 0.5000 0.0000

***

ReTcTe2I | Alexandria | meta-GGA SCAN | PBEsol geometry; calculated total energy = -3.09215 Ry/atom; density = 7.67 g/cm3; space-group type = No. 123; total magnetization = 3.70 Bohr magnetons per cell; E_form (uncorrected) = 1.4094 eV per atom
1.0
-3.3588 2.1987 -3.1385
-3.6591 -3.0796 1.7586
-1.2409 3.7214 3.9350
I Re Te Tc
1 1 2 1
Direct
0.0000 0.0000 0.5000
0.0000 0.0000 0.0000
0.0000 0.5000 0.0000
0.5000 0.0000 0.0000
0.5000 0.5000 0.5000

***

ZrRe2TcI | Alexandria | meta-GGA SCAN | PBEsol geometry; calculated total energy = -3.48209 Ry/atom; density = 10.47 g/cm3; space-group type = No. 123; total magnetization = 1.78 Bohr magnetons per cell; E_form (uncorrected) = 1.5628 eV per atom
1.0
-3.2409 -3.3642 -0.3900
2.0171 -1.4838 -3.9626
2.8835 -3.0818 2.6218
I Re Tc Zr
1 2 1 1
Direct
0.5000 0.5000 0.5000
0.0000 0.5000 0.0000
0.5000 0.0000 0.0000
0.0000 0.0000 0.0000
0.0000 0.0000 0.5000

***

Re3Te7I7 | Alexandria | meta-GGA SCAN | PBEsol geometry; calculated total energy = -3.17259 Ry/atom; density = 6.70 g/cm3; space-group type = No. 2; total magnetization = 0.00 Bohr magnetons per cell; E_form (uncorrected) = -0.1512 eV per atom
1.0
-2.3025 -10.3373 -0.7813
4.8800 -5.3653 -7.6998
7.3413 -5.4570 7.7965
I Re Te
14 6 14
Direct
0.4078 0.1119 0.6190
0.5922 0.8881 0.3810
0.9869 0.4126 0.6427
0.0131 0.5874 0.3573
0.3742 0.3034 0.9494
0.6258 0.6966 0.0506
0.6967 0.4598 0.3942
0.3033 0.5402 0.6058
0.1397 0.1763 0.4067
0.8603 0.8237 0.5933
0.2896 0.7618 0.3813
0.7104 0.2382 0.6187
0.4044 0.3135 0.3354
0.5956 0.6865 0.6646
0.9366 0.8758 0.0884
0.0634 0.1242 0.9116
0.8390 0.1586 0.0965
0.1610 0.8414 0.9035
0.1167 0.9868 0.1001
0.8833 0.0132 0.8999
0.8349 0.7057 0.2033
0.1651 0.2943 0.7967
0.6145 0.3946 0.2096
0.3855 0.6054 0.7904
0.3007 0.9601 0.2238
0.6993 0.0399 0.7762
0.6594 0.0467 0.0855
0.3406 0.9533 0.9145
0.0187 0.2708 0.1096
0.9813 0.7292 0.8904
0.8933 0.0215 0.2852
0.1067 0.9785 0.7148
0.2126 0.7046 0.0950
0.7874 0.2954 0.9050

***

ReWI2 | Alexandria | meta-GGA SCAN | PBEsol geometry; calculated total energy = -3.79960 Ry/atom; density = 14.12 g/cm3; space-group type = No. 225; total magnetization = 0.00 Bohr magnetons per cell; E_form (uncorrected) = 1.8710 eV per atom
1.0
4.6986 0.0000 0.0000
2.3493 4.0691 0.0000
2.3493 1.3564 3.8364
I Re W
2 1 1
Direct
0.2500 0.2500 0.2500
0.7500 0.7500 0.7500
0.5000 0.5000 0.5000
0.0000 0.0000 0.0000

***

Re3WI | Alexandria | meta-GGA SCAN | PBEsol geometry; calculated total energy = -4.44315 Ry/atom; density = 14.15 g/cm3; space-group type = No. 221; total magnetization = 0.00 Bohr magnetons per cell; E_form (uncorrected) = 3.4923 eV per atom
1.0
-2.6098 2.4509 3.0032
-3.5108 -3.0293 -0.5787
1.6433 -2.5794 3.5331
I Re W
1 3 1
Direct
0.0000 0.0000 0.0000
0.0000 0.5000 0.0000
0.0000 0.0000 0.5000
0.5000 0.0000 0.0000
0.5000 0.5000 0.5000

***

ReWI3 | Alexandria | meta-GGA SCAN | PBEsol geometry; calculated total energy = -3.55457 Ry/atom; density = 7.85 g/cm3; space-group type = No. 221; total magnetization = 2.19 Bohr magnetons per cell; E_form (uncorrected) = 1.8396 eV per atom
1.0
-2.9349 0.2950 -4.5422
4.4621 -0.8811 -2.9403
-0.8991 -5.3356 0.2344
I Re W
3 1 1
Direct
0.0000 0.5000 0.0000
0.0000 0.0000 0.5000
0.5000 0.0000 0.0000
0.5000 0.5000 0.5000
0.0000 0.0000 0.0000

***

ZnRe3I | Alexandria | meta-GGA SCAN | PBEsol geometry; calculated total energy = -3.65164 Ry/atom; density = 11.58 g/cm3; space-group type = No. 221; total magnetization = 1.99 Bohr magnetons per cell; E_form (uncorrected) = 3.0268 eV per atom
1.0
-1.6641 -2.4618 -3.7158
4.4498 -1.1468 -1.2330
-0.2577 -3.9065 2.7036
I Re Zn
1 3 1
Direct
0.0000 0.0000 0.0000
0.0000 0.5000 0.0000
0.0000 0.0000 0.5000
0.5000 0.0000 0.0000
0.5000 0.5000 0.5000

***

Zr3ReI | Alexandria | meta-GGA SCAN | PBEsol geometry; calculated total energy = -2.90831 Ry/atom; density = 7.47 g/cm3; space-group type = No. 221; total magnetization = 0.00 Bohr magnetons per cell; E_form (uncorrected) = 0.4175 eV per atom
1.0
-3.5935 2.8099 2.2151
-3.4786 -2.0084 -3.0955
-0.8380 -3.7130 3.3507
I Re Zr
1 1 3
Direct
0.5000 0.5000 0.5000
0.0000 0.0000 0.0000
0.0000 0.5000 0.0000
0.0000 0.0000 0.5000
0.5000 0.0000 0.0000

***

RuRhI2 | Alexandria | meta-GGA SCAN | PBEsol geometry; calculated total energy = -2.53986 Ry/atom; density = 10.18 g/cm3; space-group type = No. 225; total magnetization = 0.01 Bohr magnetons per cell; E_form (uncorrected) = 0.9637 eV per atom
1.0
-4.7022 0.4142 -0.2543
-2.6174 -3.6474 -1.4808
-2.7472 -2.3337 3.0584
I Ru Rh
2 1 1
Direct
0.2500 0.2500 0.2500
0.7500 0.7500 0.7500
0.0000 0.0000 0.0000
0.5000 0.5000 0.5000

***

Sb2RhSI | Alexandria | meta-GGA SCAN | PBEsol geometry; E above lowest polymorph = 0.6786 eV/atom; calculated total energy = -2.18703 Ry/atom; density = 6.49 g/cm3; space-group type = No. 123; total magnetization = 0.00 Bohr magnetons per cell; E_form (uncorrected) = 1.1765 eV per atom
1.0
-0.5700 -2.8398 -4.1611
-1.9071 -3.7544 2.8235
-4.6280 1.8686 -0.6413
I Sb S Rh
1 2 1 1
Direct
0.0000 0.0000 0.5000
0.0000 0.5000 0.0000
0.5000 0.0000 0.0000
0.0000 0.0000 0.0000
0.5000 0.5000 0.5000

***

Sb2RhSI | Alexandria | meta-GGA SCAN | PBEsol geometry; E above lowest polymorph = 0.0000 eV/atom; calculated total energy = -2.23690 Ry/atom; density = 6.31 g/cm3; space-group type = No. 123; total magnetization = 0.00 Bohr magnetons per cell; E_form (uncorrected) = 0.4979 eV per atom
1.0
5.0408 0.0000 0.0000
0.0000 5.0408 0.0000
0.0000 0.0000 5.2378
I Sb S Rh
1 2 1 1
Direct
0.0000 0.0000 0.5000
0.0000 0.5000 0.0000
0.5000 0.0000 0.0000
0.5000 0.5000 0.5000
0.0000 0.0000 0.0000

***

SbRh2I | Alexandria | meta-GGA SCAN | PBEsol geometry; calculated total energy = -2.57806 Ry/atom; density = 10.36 g/cm3; space-group type = No. 225; total magnetization = 0.00 Bohr magnetons per cell; E_form (uncorrected) = 0.3100 eV per atom
1.0
-3.9957 -0.8609 -2.2945
-3.9173 -0.9528 2.3913
-3.4915 3.1252 0.1197
I Sb Rh
1 1 2
Direct
0.5000 0.5000 0.5000
0.0000 0.0000 0.0000
0.2500 0.2500 0.2500
0.7500 0.7500 0.7500

***

ScSb2RhI | Alexandria | meta-GGA SCAN | PBEsol geometry; calculated total energy = -2.28663 Ry/atom; density = 5.64 g/cm3; space-group type = No. 123; total magnetization = 1.53 Bohr magnetons per cell; E_form (uncorrected) = 0.7432 eV per atom
1.0
5.3523 0.0000 0.0000
0.0000 5.3523 0.0000
0.0000 0.0000 5.3244
I Sb Rh Sc
1 2 1 1
Direct
0.0000 0.0000 0.5000
0.0000 0.5000 0.0000
0.5000 0.0000 0.0000
0.5000 0.5000 0.5000
0.0000 0.0000 0.0000

***

ScSbRhI2 | Alexandria | meta-GGA SCAN | PBEsol geometry; calculated total energy = -2.32143 Ry/atom; density = 6.17 g/cm3; space-group type = No. 123; total magnetization = 0.00 Bohr magnetons per cell; E_form (uncorrected) = 0.1658 eV per atom
1.0
-1.2683 -2.8491 4.1060
4.3773 -2.7990 -0.5901
2.5551 3.3407 3.1073
I Sb Rh Sc
2 1 1 1
Direct
0.0000 0.0000 0.5000
0.0000 0.5000 0.0000
0.5000 0.0000 0.0000
0.0000 0.0000 0.0000
0.5000 0.5000 0.5000

***

SbTeRhI2 | Alexandria | meta-GGA SCAN | PBEsol geometry; calculated total energy = -2.64934 Ry/atom; density = 7.11 g/cm3; space-group type = No. 123; total magnetization = 0.00 Bohr magnetons per cell; E_form (uncorrected) = 0.3071 eV per atom
1.0
5.2295 0.0000 0.0000
0.0000 5.2295 0.0000
0.0000 0.0000 5.1773
I Sb Te Rh
2 1 1 1
Direct
0.0000 0.5000 0.0000
0.5000 0.0000 0.0000
0.5000 0.5000 0.5000
0.0000 0.0000 0.5000
0.0000 0.0000 0.0000

***

Sb2TeRhI | Alexandria | meta-GGA SCAN | PBEsol geometry; calculated total energy = -2.57355 Ry/atom; density = 5.61 g/cm3; space-group type = No. 123; total magnetization = 0.73 Bohr magnetons per cell; E_form (uncorrected) = 1.4421 eV per atom
1.0
-3.6011 -3.9729 1.6211
3.9698 -3.8879 -0.7100
1.6490 0.7010 5.3813
I Sb Te Rh
1 2 1 1
Direct
0.0000 0.0000 0.5000
0.0000 0.5000 0.0000
0.5000 0.0000 0.0000
0.0000 0.0000 0.0000
0.5000 0.5000 0.5000

***

Sb2RhWI | Alexandria | meta-GGA SCAN | PBEsol geometry; calculated total energy = -3.05374 Ry/atom; density = 8.39 g/cm3; space-group type = No. 123; total magnetization = 3.22 Bohr magnetons per cell; E_form (uncorrected) = 1.3963 eV per atom
1.0
4.9768 0.0000 0.0000
0.0000 4.9768 0.0000
0.0000 0.0000 5.2501
I Sb Rh W
1 2 1 1
Direct
0.0000 0.0000 0.5000
0.0000 0.5000 0.0000
0.5000 0.0000 0.0000
0.0000 0.0000 0.0000
0.5000 0.5000 0.5000